No. 1
Below is a relaxed structure of Pb2Se, with properties calculated at the PBE level.

a = 3.9129 Å, b = 16.9573 Å, c = 5.2047 Å
α = 90.00°, β = 90.00°, γ = 90.00°
Space group Cmcm (No. 63)
One atom of each set of equivalent atoms:
Pb 0.0000 0.0769 0.2500 (multiplicity 4)
Pb 0.0000 0.2244 0.7500 (multiplicity 4)
Se 0.0000 0.4140 0.2500 (multiplicity 4)

Properties
Uncorrected formation energy, eV per atom: -0.18



No. 2
Below is a relaxed structure of NbZn3B, with properties calculated at the PBE level.

a = 5.0800 Å, b = 5.0800 Å, c = 5.0800 Å
α = 90.00°, β = 90.00°, γ = 90.00°
Space group Pm-3m (No. 221)
One atom of each set of equivalent atoms:
Nb 0.0000 0.0000 0.0000 (multiplicity 1)
Zn 0.0000 0.0000 0.5000 (multiplicity 3)
B 0.5000 0.5000 0.5000 (multiplicity 1)

Properties
ΔE_f, eV per atom: 1.930



No. 3
Below is a relaxed structure of Cd2CoOs, with properties calculated at the PBE level.

a = 2.8249 Å, b = 2.8249 Å, c = 28.5563 Å
α = 90.00°, β = 90.00°, γ = 120.00°
Space group R3m (No. 160, hexagonal axes)
One atom of each set of equivalent atoms:
Cd 0.0000 0.0000 0.0000 (multiplicity 3)
Cd 0.0000 0.0000 0.2334 (multiplicity 3)
Co 0.0000 0.0000 0.4865 (multiplicity 3)
Os 0.0000 0.0000 0.7545 (multiplicity 3)

Properties
ΔE_f, eV per atom: 0.328



No. 4
Below is a relaxed structure of InGePdAu, with properties calculated at the PBE level.

a = 6.6819 Å, b = 6.6819 Å, c = 6.6819 Å
α = 90.00°, β = 90.00°, γ = 90.00°
Space group F-43m (No. 216)
One atom of each set of equivalent atoms:
In 0.0000 0.0000 0.0000 (multiplicity 4)
Ge 0.0000 0.0000 0.5000 (multiplicity 4)
Pd 0.2500 0.2500 0.2500 (multiplicity 4)
Au 0.2500 0.2500 0.7500 (multiplicity 4)

Properties
ΔE_f, eV per atom: -0.101